{"formula": "ErCdIn2Hg6", "functional": "GGA-PBE", "state": "relaxed", "formation_energy_mev_per_atom": -84, "space_group": "C2/c", "magnetic_moment_mub_per_atom": 0.00, "density_g_cm3": 11.08, "cell": [[5.137, -6.884, 0.000], [5.137, 6.884, 0.000], [-3.587, 0.000, 7.260]], "species": ["Er", "Er", "Cd", "Cd", "In", "In", "In", "In", "Hg", "Hg", "Hg", "Hg", "Hg", "Hg", "Hg", "Hg", "Hg", "Hg", "Hg", "Hg"], "frac_coords": [[0.246, 0.754, 0.750], [0.754, 0.246, 0.250], [0.005, 0.995, 0.750], [0.995, 0.005, 0.250], [0.078, 0.638, 0.292], [0.362, 0.922, 0.208], [0.638, 0.078, 0.792], [0.922, 0.362, 0.708], [0.038, 0.279, 0.073], [0.196, 0.370, 0.534], [0.279, 0.038, 0.573], [0.327, 0.535, 0.006], [0.370, 0.196, 0.034], [0.465, 0.673, 0.494], [0.535, 0.327, 0.506], [0.630, 0.804, 0.966], [0.673, 0.465, 0.994], [0.721, 0.962, 0.427], [0.804, 0.630, 0.466], [0.962, 0.721, 0.927]]}